VASP calculation (PBE+U) on SrFeO3 after structural relaxation.

Cell lengths 7.436, 7.436, 6.016 Å; angles 99.73, 99.73, 84.86 degrees
Positions (direct):
Sr 0.095 0.905 0.750
Sr 0.329 0.671 0.250
Sr 0.671 0.329 0.750
Sr 0.905 0.095 0.250
Fe 0.194 0.377 0.747
Fe 0.377 0.194 0.247
Fe 0.623 0.806 0.753
Fe 0.806 0.623 0.253
O 0.011 0.224 0.659
O 0.142 0.606 0.861
O 0.224 0.011 0.159
O 0.323 0.371 0.499
O 0.371 0.323 0.999
O 0.394 0.858 0.639
O 0.606 0.142 0.361
O 0.629 0.677 0.001
O 0.677 0.629 0.501
O 0.776 0.989 0.841
O 0.858 0.394 0.139
O 0.989 0.776 0.341

## Properties
E_tot in eV per formula unit: -31.0